(1)
## IO2F2 (PBE-GGA)

Data for a geometry-optimized IO2F2 structure.

Lattice parameters (Å, degrees): 4.026 4.026 3.787 90.00 90.00 90.00
Atoms (fractional coordinates):
I  0.000  0.000  0.000
O  0.500  0.500  0.000
O  0.500  0.500  0.500
F  0.000  0.500  0.500
F  0.500  0.000  0.500

Summary:
E ... -2.374 eV per atom
ΔE to the lowest computed polymorph ... 882.6 meV per atom


(2)
## BeV12Si6 (PBE-GGA)

Data for a geometry-optimized BeV12Si6 structure.

Lattice parameters (Å, degrees): 6.254 6.254 6.254 89.89 89.89 89.89
Atoms (fractional coordinates):
Be  0.000  0.000  0.000
V  0.057  0.379  0.137
V  0.137  0.057  0.379
V  0.190  0.575  0.482
V  0.379  0.137  0.057
V  0.425  0.518  0.810
V  0.482  0.190  0.575
V  0.518  0.810  0.425
V  0.575  0.482  0.190
V  0.621  0.863  0.943
V  0.810  0.425  0.518
V  0.863  0.943  0.621
V  0.943  0.621  0.863
Si  0.119  0.267  0.741
Si  0.259  0.881  0.733
Si  0.267  0.741  0.119
Si  0.733  0.259  0.881
Si  0.741  0.119  0.267
Si  0.881  0.733  0.259

Summary:
E ... -7.990 eV per atom